[1]
{"formula": "AlV2Os3", "functional": "PBE-GGA", "state": "optimized geometry", "magmom_total_mub_per_fu": 0.0, "crystal_system": "tetragonal", "e_form_mev_per_atom": -407, "lattice": [[3.011, 0.000, 0.000], [0.000, 3.011, 0.000], [0.000, 0.000, 9.090]], "species": ["Al", "V", "V", "Os", "Os", "Os"], "frac_coords": [[0.000, 0.000, 0.000], [0.000, 0.000, 0.332], [0.000, 0.000, 0.668], [0.500, 0.500, 0.170], [0.500, 0.500, 0.500], [0.500, 0.500, 0.830]]}

***

[2]
{"formula": "CdReAsSe2", "functional": "PBE-GGA", "state": "optimized geometry", "magmom_total_mub_per_fu": 0.0, "crystal_system": "tetragonal", "relative_energy_kj_per_mol_atoms": 0.0, "lattice": [[4.996, 0.000, 0.000], [0.000, 4.996, 0.000], [0.000, 0.000, 4.807]], "species": ["Cd", "Re", "As", "Se", "Se"], "frac_coords": [[0.000, 0.000, 0.000], [0.500, 0.500, 0.500], [0.500, 0.500, 0.000], [0.000, 0.500, 0.500], [0.500, 0.000, 0.500]]}